(1)
Below is an optimized crystal structure of AcPHRh2, with properties calculated at the PBE level.

a b c (Å): 3.960 5.929 7.151
angles (deg): 90.00 90.00 109.51
Fractional positions:
Ac  0.441  0.882  0.750
Ac  0.559  0.118  0.250
P  0.720  0.440  0.750
P  0.280  0.560  0.250
H  0.000  0.000  0.000
H  0.000  0.000  0.500
Rh  0.168  0.337  0.944
Rh  0.832  0.663  0.056
Rh  0.168  0.337  0.556
Rh  0.832  0.663  0.444

Output
The value obtained for the final energy is -31.55 eV per formula unit. Its spin magnetization is 0.0 μB per formula unit.



(2)
Below is an optimized crystal structure of GeH2Se, with properties calculated at the PBE level.

a b c (Å): 3.979 4.205 5.331
angles (deg): 68.86 68.32 89.97
Fractional positions:
Ge  0.098  0.418  0.453
H  0.752  0.115  0.144
H  0.923  0.263  0.807
Se  0.587  0.985  0.476

Output
The value obtained for the final energy is -14.59 eV per formula unit. The calculation puts the energy above the most stable polymorph in this dataset at 15.87 kJ/mol of atoms. Its spin magnetization is 0.0 μB per formula unit.



(3)
Below is an optimized crystal structure of NaPr3Rh, with properties calculated at the PBE level.

a b c (Å): 5.668 5.668 5.668
angles (deg): 90.00 90.00 90.00
Fractional positions:
Pr  0.000  0.500  0.000
Pr  0.000  0.000  0.500
Pr  0.500  0.000  0.000
Na  0.500  0.500  0.500
Rh  0.000  0.000  0.000

Output
The value obtained for the final energy is -23.67 eV per formula unit. Its spin magnetization is 0.0 μB per formula unit.



(4)
Below is an optimized crystal structure of TlP8, with properties calculated at the PBE level.

a b c (Å): 6.882 6.882 6.882
angles (deg): 95.40 95.40 144.27
Fractional positions:
Tl  0.000  0.000  0.000
P  0.786  0.214  0.000
P  0.214  0.786  0.000
P  0.000  0.624  0.624
P  0.214  0.214  0.428
P  0.624  0.000  0.624
P  0.786  0.786  0.572
P  0.000  0.376  0.376
P  0.376  0.000  0.376

Output
The value obtained for the final energy is -41.46 eV per formula unit. Its spin magnetization is 0.0 μB per formula unit.



(5)
Below is an optimized crystal structure of TbThRu, with properties calculated at the PBE level.

a b c (Å): 5.553 5.553 6.869
angles (deg): 113.85 113.85 89.95
Fractional positions:
Tb  0.835  0.834  0.669
Tb  0.584  0.085  0.169
Th  0.330  0.329  0.659
Th  0.079  0.580  0.159
Ru  0.836  0.335  0.672
Ru  0.085  0.086  0.172

Output
The value obtained for the final energy is -22.09 eV per formula unit. The calculation puts the energy above the most stable polymorph in this dataset at 7.32 kJ/mol of atoms. Its spin magnetization is 0.0 μB per formula unit.



(6)
Below is an optimized crystal structure of MnIn2Br, with properties calculated at the PBE level.

a b c (Å): 5.830 3.458 5.117
angles (deg): 89.98 90.00 90.00
Fractional positions:
Br  0.500  0.625  0.655
In  0.000  0.126  0.076
In  0.500  0.124  0.182
Mn  0.000  0.625  0.587

Output
The value obtained for the final energy is -15.84 eV per formula unit. The calculation puts the energy above the most stable polymorph in this dataset at 10.65 kJ/mol of atoms. As for the formation energy (no corrections): 0.1191 eV per atom. Its spin magnetization is 4.4 μB per formula unit.